## Cr2IO (PBE with a Hubbard U)

Data for Cr2IO after structural relaxation.

Computed properties:
calculated density = 4.501 Mg/m³
DFT total energy = -6.092 eV per atom
magnetic moment = 18.00 Bohr magnetons per cell
relative energy among the computed polymorphs = 0 meV per atom

```
Cr2IO
1.0
5.7051 0.0000 0.0000
0.0000 5.7051 0.0000
2.8526 2.8526 5.5969
Cr I O
4 2 2
direct
0.3750 0.5512 0.7500
0.8750 0.6988 0.7500
0.3012 0.6250 0.2500
0.4488 0.1250 0.2500
0.0000 0.0000 0.0000
0.7500 0.2500 0.5000
0.2500 0.7500 0.5000
0.5000 0.5000 0.0000
```